Entry from the Alexandria database: an optimized crystal structure of CrHg2As (GGA-PBE).

Cell: 8.7408 8.7408 8.7408 Å, 23.04 23.04 23.04°
With the nearest neighbours (Å) after each atom.
Atoms (fractional coordinates):
As1 0.4807 0.4807 0.4807  3 Cr 2.42
Cr1 0.7613 0.7613 0.7613  3 As 2.42
Hg1 0.0121 0.0121 0.0121  3 Cr 2.92, 3 Hg 3.24
Hg2 0.2459 0.2459 0.2459  3 As 3.22, 9 Hg 3.24-3.49

- energy relative to the elements (eV per atom) = 0.1800
- SG = R3m, No. 160
- crystal system = trigonal
- magnetic moment (μB/f.u.) = 2.85
- DOS(E_F) (states/eV/cell) = 0.67